[1]
Crystalline Pr2ZnAs3Pd4 at its relaxed geometry. Source: Alexandria via LeMat-Bulk, functional PBE.

Cell lengths 4.3113, 4.3113, 10.4605 Å; angles 90.00, 90.00, 90.00 degrees
Sites, in units of the cell vectors:
Pr (0.0000, 0.5000, 0.2418)
Pr (0.5000, 0.0000, 0.7582)
Zn (0.0000, 0.0000, 0.5000)
As (0.0000, 0.5000, 0.8631)
As (0.5000, 0.0000, 0.1369)
As (0.5000, 0.5000, 0.5000)
Pd (0.0000, 0.0000, 0.0000)
Pd (0.0000, 0.5000, 0.6287)
Pd (0.5000, 0.0000, 0.3713)
Pd (0.5000, 0.5000, 0.0000)

DFT formation energy: -8.6 eV per formula unit
space group: P-4m2, No. 115

---

[2]
Crystalline Ta2MnBe at its relaxed geometry. Source: Alexandria via LeMat-Bulk, functional PBE.

Cell lengths 2.8035, 2.8035, 7.3331 Å; angles 90.00, 90.00, 90.00 degrees
Sites, in units of the cell vectors:
Ta (0.0000, 0.0000, 0.0000)
Ta (0.5000, 0.5000, 0.3269)
Mn (0.5000, 0.5000, 0.7369)
Be (0.0000, 0.0000, 0.5650)

DFT formation energy: 0.3 eV per formula unit
space group: P4mm, No. 99

---

[3]
Crystalline Cu2RuI2 at its relaxed geometry. Source: Alexandria via LeMat-Bulk, functional PBE.

Cell lengths 9.1464, 9.1464, 9.1464 Å; angles 158.46, 158.46, 30.64 degrees
Sites, in units of the cell vectors:
Cu (0.2500, 0.7500, 0.5000)
Cu (0.7500, 0.2500, 0.5000)
Ru (0.0000, 0.0000, 0.0000)
I (0.4047, 0.4047, 0.0000)
I (0.5953, 0.5953, 0.0000)

E_form (uncorrected): 0.7856 eV per atom
space group: I4/mmm, No. 139

---

[4]
Crystalline MgCo2Ni at its relaxed geometry. Source: Alexandria via LeMat-Bulk, functional PBE.

Cell lengths 2.5972, 3.6649, 5.2472 Å; angles 90.00, 90.00, 90.00 degrees
Sites, in units of the cell vectors:
Mg (0.0000, 0.0000, 0.0000)
Co (0.5000, 0.5000, 0.2781)
Co (0.5000, 0.5000, 0.7219)
Ni (0.0000, 0.0000, 0.5000)

DFT formation energy: 0.6 eV per formula unit
space group: Pmmm, No. 47